Compound: Li2BeTeBr
Source: Alexandria
Functional: PBE
Structure: relaxed

abc: 5.3376 5.3376 4.8488
angles: 90.00 90.00 90.00
Closest atoms and distances in Å follow each position.
Space group P4/mmm (No. 123)
Asymmetric unit:
Li (0.0000, 0.5000, 0.0000)  2 Te 2.67
Be (0.0000, 0.0000, 0.5000)  2 Te 2.42
Te (0.0000, 0.0000, 0.0000)  2 Be 2.42, 4 Li 2.67
Br (0.5000, 0.5000, 0.5000)  8 Li 3.61, 4 Be 3.77

Properties
Uncorrected formation energy ... -291 meV per atom
Size of the total moment ... 0.000 μB per atom
Volume ... 27.6 Å³ per atom
VASP energy ... -2.765 eV/atom



Compound: LiBeTlBr4
Source: Alexandria
Functional: PBE
Structure: relaxed

abc: 6.2789 8.0977 8.9372
angles: 90.00 105.62 90.00
Closest atoms and distances in Å follow each position.
Space group P2_1/m (No. 11)
Asymmetric unit:
Li (0.2021, 0.2500, 0.3342)  4 Br 2.51-2.60
Be (0.3054, 0.7500, 0.7035)  4 Br 2.17-2.23
Tl (0.2927, 0.2500, 0.9109)  7 Br 3.38-3.62, 1 Be 3.68
Br (0.0451, 0.7500, 0.4870)  1 Be 2.17
Br (0.1494, 0.7500, 0.9001)  1 Be 2.23
Br (0.4711, 0.0344, 0.2698)  1 Be 2.21

Properties
Uncorrected formation energy ... -1108 meV per atom
Size of the total moment ... 0.000 μB per atom
Volume ... 31.3 Å³ per atom
VASP energy ... -3.208 eV/atom



Compound: LiZr2BeBr
Source: Alexandria
Functional: PBE
Structure: relaxed

abc: 5.0378 5.0378 4.3214
angles: 90.00 90.00 90.00
Closest atoms and distances in Å follow each position.
Space group P4/mmm (No. 123)
Asymmetric unit:
Li (0.0000, 0.0000, 0.0000)  8 Zr 3.32, 4 Be 3.56
Zr (0.0000, 0.5000, 0.5000)  2 Br 2.52
Be (0.5000, 0.5000, 0.0000)  2 Br 2.16
Br (0.5000, 0.5000, 0.5000)  2 Be 2.16

Properties
Uncorrected formation energy ... 737 meV per atom
Size of the total moment ... 0.000 μB per atom
Volume ... 21.9 Å³ per atom
VASP energy ... -4.145 eV/atom



Compound: Mg2BeBr6
Source: Alexandria
Functional: PBE
Structure: relaxed

abc: 13.8332 14.5639 6.9022
angles: 90.00 115.48 90.00
Closest atoms and distances in Å follow each position.
Space group C2/c (No. 15)
Asymmetric unit:
Mg (0.2296, 0.0851, 0.4276)  4 Br 2.52-2.55
Be (0.0000, 0.2855, 0.2500)  4 Br 2.20-2.21
Br (0.0850, 0.3735, 0.5342)  1 Be 2.21
Br (0.1094, 0.2042, 0.1634)  1 Be 2.20
Br (0.1915, 0.0723, 0.7517)  2 Mg 2.52-2.54

Properties
Uncorrected formation energy ... -1273 meV per atom
Size of the total moment ... 0.000 μB per atom
Volume ... 34.9 Å³ per atom
VASP energy ... -3.156 eV/atom



Compound: MgBeBr2
Source: Alexandria
Functional: PBE
Structure: relaxed

abc: 3.4461 7.0710 9.2495
angles: 90.00 90.00 90.00
Closest atoms and distances in Å follow each position.
Space group Cmm2 (No. 35)
Asymmetric unit:
Mg (0.0000, 0.0000, 0.0000)  2 Br 2.54, 2 Be 2.82
Be (0.0000, 0.5000, 0.7588)  2 Br 2.21
Br (0.0000, 0.0000, 0.6092)  2 Be 2.21
Br (0.0000, 0.5000, 0.2014)  2 Mg 2.54

Properties
Relative energy among the computed polymorphs ... 119 meV/atom
Uncorrected formation energy ... -420 meV per atom
Size of the total moment ... 0.000 μB per atom
Volume ... 28.2 Å³ per atom
VASP energy ... -2.586 eV/atom



Compound: MgBeBr3
Source: Alexandria
Functional: PBE
Structure: relaxed

abc: 4.8713 4.8713 4.8713
angles: 90.00 90.00 90.00
Closest atoms and distances in Å follow each position.
Space group Pm-3m (No. 221)
Asymmetric unit:
Mg (0.0000, 0.0000, 0.0000)  12 Br 3.44
Be (0.5000, 0.5000, 0.5000)  6 Br 2.44
Br (0.0000, 0.5000, 0.5000)  2 Be 2.44

Properties
Relative energy among the computed polymorphs ... 0 meV/atom
Uncorrected formation energy ... -446 meV per atom
Size of the total moment ... 0.044 μB per atom
Volume ... 23.1 Å³ per atom
VASP energy ... -2.514 eV/atom